No. 1
A relaxed TbNd4Pa3P8 crystal. Source: Alexandria via LeMat-Bulk, functional PBE.

Computed properties:
Symmetry: R-3m
Formation energy from the elements: -1473 meV/atom
DFT total energy: -119.03 eV/cell

Cell: 8.1471 8.1471 8.1471 Å, 59.78 59.78 59.78°
With the nearest neighbours (Å) after each atom.
Fractional coordinates of all 16 atoms:
Tb 0.0000 0.0000 0.0000  6 P 2.84
Nd 0.0000 0.0000 0.5000  6 P 2.94-2.95
Nd 0.0000 0.5000 0.0000  6 P 2.94-2.95
Nd 0.5000 0.0000 0.0000  6 P 2.94-2.95
Nd 0.5000 0.5000 0.5000  6 P 2.91
Pa 0.0000 0.5000 0.5000  6 P 2.80-2.82
Pa 0.5000 0.0000 0.5000  6 P 2.80-2.82
Pa 0.5000 0.5000 0.0000  6 P 2.80-2.82
P 0.2470 0.2470 0.7401  2 Pa 2.80, 1 Tb 2.84, 3 Nd 2.91-2.95
P 0.2470 0.7401 0.2470  2 Pa 2.80, 1 Tb 2.84, 3 Nd 2.91-2.95
P 0.2553 0.2553 0.2553  3 Pa 2.82, 3 Nd 2.94
P 0.2599 0.7530 0.7530  2 Pa 2.80, 1 Tb 2.84, 3 Nd 2.91-2.95
P 0.7401 0.2470 0.2470  2 Pa 2.80, 1 Tb 2.84, 3 Nd 2.91-2.95
P 0.7447 0.7447 0.7447  3 Pa 2.82, 3 Nd 2.94
P 0.7530 0.2599 0.7530  2 Pa 2.80, 1 Tb 2.84, 3 Nd 2.91-2.95
P 0.7530 0.7530 0.2599  2 Pa 2.80, 1 Tb 2.84, 3 Nd 2.91-2.95

No. 2
A relaxed BaZn2Ni2 crystal. Source: Alexandria via LeMat-Bulk, functional PBE.

Computed properties:
Symmetry: P4/mbm
Formation energy from the elements: 143 meV/atom
DFT total energy: -30.64 eV/cell

Cell: 7.7544 7.7544 2.9527 Å, 90.00 90.00 90.00°
With the nearest neighbours (Å) after each atom.
Fractional coordinates of all 10 atoms:
Ba 0.0000 0.0000 0.0000  2 Ba 2.95, 4 Zn 3.11, 8 Ni 3.24
Ba 0.5000 0.5000 0.0000  2 Ba 2.95, 4 Zn 3.11, 8 Ni 3.24
Zn 0.1163 0.3837 0.0000  1 Zn 2.55, 6 Ni 2.68-2.79
Zn 0.3837 0.8837 0.0000  1 Zn 2.55, 6 Ni 2.68-2.79
Zn 0.6163 0.1163 0.0000  1 Zn 2.55, 6 Ni 2.68-2.79
Zn 0.8837 0.6163 0.0000  1 Zn 2.55, 6 Ni 2.68-2.79
Ni 0.1674 0.6674 0.5000  6 Zn 2.68-2.79, 2 Ni 2.95
Ni 0.3326 0.1674 0.5000  6 Zn 2.68-2.79, 2 Ni 2.95
Ni 0.6674 0.8326 0.5000  6 Zn 2.68-2.79, 2 Ni 2.95
Ni 0.8326 0.3326 0.5000  6 Zn 2.68-2.79, 2 Ni 2.95

No. 3
A relaxed Sm2ErSn crystal. Source: Alexandria via LeMat-Bulk, functional PBE.

Computed properties:
Symmetry: Imm2
Formation energy from the elements: -390 meV/atom
DFT total energy: -39.13 eV/cell

Cell: 4.7569 4.7690 10.1986 Å, 90.00 90.00 90.00°
With the nearest neighbours (Å) after each atom.
Fractional coordinates of all 8 atoms:
Sm 0.0000 0.0000 0.0000  4 Sn 3.37, 4 Er 3.49, 4 Sm 3.49
Sm 0.0000 0.5000 0.2495  4 Er 3.37, 4 Sn 3.48-3.49, 4 Sm 3.49
Sm 0.5000 0.0000 0.7495  4 Er 3.37, 4 Sn 3.48-3.49, 4 Sm 3.49
Sm 0.5000 0.5000 0.5000  4 Sn 3.37, 4 Er 3.49, 4 Sm 3.49
Er 0.0000 0.5000 0.7506  8 Sm 3.37-3.49, 4 Sn 3.48-3.50
Er 0.5000 0.0000 0.2506  8 Sm 3.37-3.49, 4 Sn 3.48-3.50
Sn 0.0000 0.0000 0.4997  8 Sm 3.37-3.49, 4 Er 3.48-3.50
Sn 0.5000 0.5000 0.9997  8 Sm 3.37-3.49, 4 Er 3.48-3.50

No. 4
A relaxed CrRe2Ru crystal. Source: Alexandria via LeMat-Bulk, functional PBE.

Computed properties:
Symmetry: P4/mmm
Formation energy from the elements: 115 meV/atom
DFT total energy: -43.33 eV/cell

Cell: 2.7097 2.7097 7.6314 Å, 90.00 90.00 90.00°
With the nearest neighbours (Å) after each atom.
Fractional coordinates of all 4 atoms:
Cr 0.0000 0.0000 0.0000  8 Re 2.66, 4 Cr 2.71
Re 0.5000 0.5000 0.2421  4 Cr 2.66, 4 Re 2.71, 4 Ru 2.75
Re 0.5000 0.5000 0.7579  4 Cr 2.66, 4 Re 2.71, 4 Ru 2.75
Ru 0.0000 0.0000 0.5000  4 Ru 2.71, 8 Re 2.75

No. 5
A relaxed Na2Ce2Cl7 crystal. Source: Alexandria via LeMat-Bulk, functional PBE.

Computed properties:
Symmetry: Imm2
Uncorrected formation energy: -1980 meV per atom
DFT total energy: -49.21 eV/cell

Cell: 9.0407 9.0407 9.0407 Å, 153.80 66.11 120.52°
With the nearest neighbours (Å) after each atom.
Fractional coordinates of all 11 atoms:
Na 0.2388 0.0000 0.2388  3 Cl 2.80-3.04
Na 0.7612 0.0000 0.7612  3 Cl 2.80-3.04
Ce 0.2729 0.2729 0.0000  7 Cl 2.84-3.01
Ce 0.7119 0.2119 0.5000  8 Cl 2.88-3.04
Cl 0.0818 0.7055 0.3762  2 Ce 2.84
Cl 0.3293 0.7055 0.6238  2 Ce 2.84
Cl 0.4306 0.5358 0.8948  3 Ce 2.85-3.04, 2 Na 3.14
Cl 0.6290 0.3104 0.3186  3 Na 2.80-3.04, 1 Ce 2.89
Cl 0.6410 0.5358 0.1052  3 Ce 2.85-3.04, 2 Na 3.14
Cl 0.9369 0.9369 0.0000  3 Ce 2.88-3.01
Cl 0.9918 0.3104 0.6814  3 Na 2.80-3.04, 1 Ce 2.89

No. 6
A relaxed CePaGe2 crystal. Source: Alexandria via LeMat-Bulk, functional PBE.

Computed properties:
Symmetry: R3m
Formation energy from the elements: -380 meV/atom
DFT total energy: -78.55 eV/cell

Cell: 4.0802 4.0802 21.8497 Å, 90.00 90.00 120.00°
With the nearest neighbours (Å) after each atom.
Fractional coordinates of all 12 atoms:
Ce 0.0000 0.0000 0.0000  6 Ge 2.96-3.04
Ce 0.3333 0.6667 0.6667  6 Ge 2.96-3.04
Ce 0.6667 0.3333 0.3333  6 Ge 2.96-3.04
Pa 0.0000 0.0000 0.8291  6 Ge 2.94-2.97
Pa 0.3333 0.6667 0.4958  6 Ge 2.94-2.97
Pa 0.6667 0.3333 0.1625  6 Ge 2.94-2.97
Ge 0.0000 0.0000 0.4152  3 Pa 2.94, 3 Ce 2.96
Ge 0.0000 0.0000 0.5785  3 Pa 2.97, 3 Ce 3.04
Ge 0.3333 0.6667 0.0819  3 Pa 2.94, 3 Ce 2.96
Ge 0.3333 0.6667 0.2451  3 Pa 2.97, 3 Ce 3.04
Ge 0.6667 0.3333 0.7486  3 Pa 2.94, 3 Ce 2.96
Ge 0.6667 0.3333 0.9118  3 Pa 2.97, 3 Ce 3.04

no.,DOS at the Fermi energy (states/eV/cell)
1,12.36
2,5.83
3,9.10
4,4.25
5,13.35
6,15.68